[1]
The following is a PBE calculation of a geometry-optimized Ti4Mn2Ni structure, from Alexandria.

Geometry as POSCAR:
```
Ti4Mn2Ni
1.0
-3.7249 -3.1608 1.5154
4.0847 -2.6997 -1.4796
1.3809 3.0498 3.8670
Ti Ni Mn
4 1 2
Direct
0.0000 0.5000 0.0000 Ti
0.5000 0.0000 0.0000 Ti
0.5000 0.5000 0.5000 Ti
0.0000 0.0000 0.5000 Ti
0.0000 0.0000 0.0000 Ni
0.5000 0.5000 0.0000 Mn
0.5000 0.0000 0.5000 Mn
```

Space group = I4/mmm, No. 139
Crystal system = tetragonal
Density of states at the Fermi level = 7.50 states/eV per cell
Energy of formation = -0.10 eV/atom

***

[2]
The following is a PBE calculation of a geometry-optimized TiMn4Ni structure, from Alexandria.

Geometry as POSCAR:
```
TiMn4Ni
1.0
4.6588 0.0000 0.0000
2.3294 4.0346 0.0000
2.3294 1.3449 3.8039
Mn Ti Ni
4 1 1
Direct
0.1198 0.6267 0.6267 Mn
0.6267 0.1198 0.6267 Mn
0.6267 0.6267 0.6267 Mn
0.6267 0.6267 0.1198 Mn
0.2500 0.2500 0.2500 Ti
0.0000 0.0000 0.0000 Ni
```

Space group = F-43m, No. 216
Crystal system = cubic
Density of states at the Fermi level = 7.52 states/eV per cell
Energy of formation = -0.02 eV/atom

***

[3]
The following is a PBE calculation of a geometry-optimized Ti5Mn4Ni structure, from Alexandria.

Geometry as POSCAR:
```
Ti5Mn4Ni
1.0
-1.5132 -2.5651 -0.2943
2.5028 -1.5410 0.5633
-3.1610 0.1930 14.5718
Mn Ti Ni
4 5 1
Direct
0.0000 0.0000 0.8034 Mn
0.0000 0.0000 0.1966 Mn
0.0000 0.0000 0.5999 Mn
0.0000 0.0000 0.4001 Mn
0.5000 0.5000 0.7011 Ti
0.5000 0.5000 0.8951 Ti
0.5000 0.5000 0.2989 Ti
0.5000 0.5000 0.1049 Ti
0.5000 0.5000 0.5000 Ti
0.0000 0.0000 0.0000 Ni
```

Space group = P4/mmm, No. 123
Crystal system = tetragonal
Density of states at the Fermi level = 7.67 states/eV per cell
Energy of formation = -0.31 eV/atom

***

[4]
The following is a PBE calculation of a geometry-optimized Ti3MnNi structure, from Alexandria.

Geometry as POSCAR:
```
Ti3MnNi
1.0
-3.6003 -1.8582 1.7807
0.4461 -3.4663 -2.7152
2.5347 -2.0293 3.0072
Ti Ni Mn
3 1 1
Direct
0.5000 0.0000 0.0000 Ti
0.0000 0.5000 0.0000 Ti
0.0000 0.0000 0.5000 Ti
0.5000 0.5000 0.5000 Ni
0.0000 0.0000 0.0000 Mn
```

Space group = Pm-3m, No. 221
Crystal system = cubic
Density of states at the Fermi level = 7.55 states/eV per cell
Energy of formation = 0.52 eV/atom

***

[5]
The following is a PBE calculation of a geometry-optimized TiMn2Ni2 structure, from Alexandria.

Geometry as POSCAR:
```
TiMn2Ni2
1.0
3.2181 0.0000 0.0000
0.0000 3.2181 0.0000
1.6091 1.6091 6.0169
Ni Mn Ti
2 2 1
Direct
0.5967 0.5967 0.8066 Ni
0.4033 0.4033 0.1934 Ni
0.7500 0.2500 0.5000 Mn
0.2500 0.7500 0.5000 Mn
0.0000 0.0000 0.0000 Ti
```

Space group = I4/mmm, No. 139
Crystal system = tetragonal
Density of states at the Fermi level = 5.41 states/eV per cell
Energy of formation = 0.05 eV/atom

***

[6]
The following is a PBE calculation of a geometry-optimized Ti6MnNi12 structure, from Alexandria.

Geometry as POSCAR:
```
Ti6MnNi12
1.0
6.2856 0.1711 0.2050
-0.7838 6.2389 0.2050
-0.7838 -0.9132 6.1751
Ni Ti Mn
12 6 1
Direct
0.4883 0.7860 0.5418 Ni
0.6310 0.9471 0.8771 Ni
0.1229 0.3690 0.0529 Ni
0.7860 0.5418 0.4883 Ni
0.3690 0.0529 0.1229 Ni
0.8771 0.6310 0.9471 Ni
0.2140 0.4582 0.5117 Ni
0.5418 0.4883 0.7860 Ni
0.9471 0.8771 0.6310 Ni
0.0529 0.1229 0.3690 Ni
0.4582 0.5117 0.2140 Ni
0.5117 0.2140 0.4582 Ni
0.8531 0.2439 0.6888 Ti
0.3112 0.1469 0.7561 Ti
0.1469 0.7561 0.3112 Ti
0.6888 0.8531 0.2439 Ti
0.7561 0.3112 0.1469 Ti
0.2439 0.6888 0.8531 Ti
0.0000 0.0000 0.0000 Mn
```

Space group = R-3, No. 148
Crystal system = trigonal
Density of states at the Fermi level = 13.31 states/eV per cell
Energy of formation = -0.25 eV/atom

***

[7]
The following is a PBE calculation of a geometry-optimized Ti2MnNi structure, from Alexandria.

Geometry as POSCAR:
```
Ti2MnNi
1.0
3.0072 0.0000 0.0000
0.0000 3.0072 0.0000
0.0000 0.0000 5.9090
Ti Ni Mn
2 1 1
Direct
0.0000 0.0000 0.2410 Ti
0.0000 0.0000 0.7590 Ti
0.5000 0.5000 0.5000 Ni
0.5000 0.5000 0.0000 Mn
```

Space group = P4/mmm, No. 123
Crystal system = tetragonal
Density of states at the Fermi level = 3.43 states/eV per cell
Energy of formation = -0.37 eV/atom

***

[8]
The following is a PBE calculation of a geometry-optimized Ti2MnNi8 structure, from Alexandria.

Geometry as POSCAR:
```
Ti2MnNi8
1.0
3.6338 0.0000 0.0000
0.0000 5.8082 0.2626
-1.8169 -2.1840 6.0804
Ni Ti Mn
8 2 1
Direct
0.4088 0.5512 0.8176 Ni
0.6769 0.9051 0.3538 Ni
0.0404 0.7242 0.0808 Ni
0.5912 0.4488 0.1824 Ni
0.8607 0.8168 0.7215 Ni
0.3231 0.0949 0.6462 Ni
0.1393 0.1832 0.2785 Ni
0.9596 0.2758 0.9192 Ni
0.2212 0.6617 0.4423 Ti
0.7788 0.3383 0.5577 Ti
0.5000 0.0000 0.0000 Mn
```

Space group = C2/m, No. 12
Crystal system = monoclinic
Density of states at the Fermi level = 10.12 states/eV per cell
Energy of formation = -0.26 eV/atom

***

[9]
The following is a PBE calculation of a geometry-optimized Ti3MnNi structure, from Alexandria.

Geometry as POSCAR:
```
Ti3MnNi
1.0
4.4407 0.0000 0.0000
0.0000 4.4407 0.0000
0.0000 0.0000 4.4407
Ti Mn Ni
3 1 1
Direct
0.0000 0.5000 0.0000 Ti
0.5000 0.0000 0.0000 Ti
0.0000 0.0000 0.5000 Ti
0.5000 0.5000 0.5000 Mn
0.0000 0.0000 0.0000 Ni
```

Space group = Pm-3m, No. 221
Crystal system = cubic
Density of states at the Fermi level = 8.71 states/eV per cell
Energy of formation = 0.76 eV/atom

***

[10]
The following is a PBE calculation of a geometry-optimized TiMnNi2 structure, from Alexandria.

Geometry as POSCAR:
```
TiMnNi2
1.0
3.5662 0.0000 0.0000
0.0000 3.5662 0.0000
1.7831 1.7831 8.4232
Ti Ni Mn
2 4 2
Direct
0.2500 0.7500 0.5000 Ti
0.5000 0.5000 0.0000 Ti
0.1150 0.6250 0.2500 Ni
0.3750 0.3650 0.7500 Ni
0.8750 0.8850 0.7500 Ni
0.6350 0.1250 0.2500 Ni
0.7500 0.2500 0.5000 Mn
0.0000 0.0000 0.0000 Mn
```

Space group = I-42d, No. 122
Crystal system = tetragonal
Density of states at the Fermi level = 8.17 states/eV per cell
Energy of formation = 0.21 eV/atom

***

[11]
The following is a PBE calculation of a geometry-optimized Ti2MnNi6 structure, from Alexandria.

Geometry as POSCAR:
```
Ti2MnNi6
1.0
-2.2966 0.1653 -1.1058
-2.8644 -4.6169 5.2592
1.3416 6.7231 1.1965
Mn Ni Ti
1 6 2
Direct
0.0000 0.0000 0.0000 Mn
0.8261 0.6562 0.6476 Ni
0.1739 0.0086 0.3524 Ni
0.5000 0.2989 0.0000 Ni
0.8261 0.9914 0.6476 Ni
0.5000 0.7011 0.0000 Ni
0.1739 0.3438 0.3524 Ni
0.1563 0.6532 0.3064 Ti
0.8437 0.3468 0.6936 Ti
```

Space group = C2/m, No. 12
Crystal system = monoclinic
Density of states at the Fermi level = 8.83 states/eV per cell
Energy of formation = -0.16 eV/atom

***

[12]
The following is a PBE calculation of a geometry-optimized TiMn2Ni2 structure, from Alexandria.

Geometry as POSCAR:
```
TiMn2Ni2
1.0
6.9521 0.0000 0.0000
0.0000 6.9521 0.0000
0.0000 0.0000 2.4958
Mn Ti Ni
4 2 4
Direct
0.8901 0.6099 0.0000 Mn
0.1099 0.3901 0.0000 Mn
0.3901 0.8901 0.0000 Mn
0.6099 0.1099 0.0000 Mn
0.5000 0.5000 0.0000 Ti
0.0000 0.0000 0.0000 Ti
0.1845 0.6845 0.5000 Ni
0.3155 0.1845 0.5000 Ni
0.6845 0.8155 0.5000 Ni
0.8155 0.3155 0.5000 Ni
```

Space group = P4/mbm, No. 127
Crystal system = tetragonal
Density of states at the Fermi level = 11.85 states/eV per cell
Energy of formation = 0.05 eV/atom

***

[13]
The following is a PBE calculation of a geometry-optimized Ti2MnNi structure, from Alexandria.

Geometry as POSCAR:
```
Ti2MnNi
1.0
3.6943 0.0000 0.0000
0.0000 3.6943 0.0000
1.8472 1.8472 8.9048
Ti Mn Ni
4 2 2
Direct
0.8750 0.8764 0.7500 Ti
0.6264 0.1250 0.2500 Ti
0.1236 0.6250 0.2500 Ti
0.3750 0.3736 0.7500 Ti
0.2500 0.7500 0.5000 Mn
0.5000 0.5000 0.0000 Mn
0.0000 0.0000 0.0000 Ni
0.7500 0.2500 0.5000 Ni
```

Space group = I-42d, No. 122
Crystal system = tetragonal
Density of states at the Fermi level = 7.27 states/eV per cell
Energy of formation = 0.35 eV/atom

***

[14]
The following is a PBE calculation of a geometry-optimized Ti4Mn3Ni structure, from Alexandria.

Geometry as POSCAR:
```
Ti4Mn3Ni
1.0
2.9931 0.0000 0.0000
0.0000 2.9931 0.0000
0.0000 0.0000 11.8955
Ni Ti Mn
1 4 3
Direct
0.5000 0.5000 0.0000 Ni
0.0000 0.0000 0.8686 Ti
0.0000 0.0000 0.6254 Ti
0.0000 0.0000 0.3746 Ti
0.0000 0.0000 0.1314 Ti
0.5000 0.5000 0.7538 Mn
0.5000 0.5000 0.5000 Mn
0.5000 0.5000 0.2462 Mn
```

Space group = P4/mmm, No. 123
Crystal system = tetragonal
Density of states at the Fermi level = 5.26 states/eV per cell
Energy of formation = -0.32 eV/atom

***

[15]
The following is a PBE calculation of a geometry-optimized TiMn3Ni structure, from Alexandria.

Geometry as POSCAR:
```
TiMn3Ni
1.0
-3.5538 -2.6321 -0.3256
0.5281 -1.2357 4.2259
-2.5991 3.3479 1.3038
Ti Ni Mn
1 1 3
Direct
0.5000 0.5000 0.5000 Ti
0.0000 0.0000 0.0000 Ni
0.0000 0.0000 0.5000 Mn
0.5000 0.0000 0.0000 Mn
0.0000 0.5000 0.0000 Mn
```

Space group = Pm-3m, No. 221
Crystal system = cubic
Density of states at the Fermi level = 5.75 states/eV per cell
Energy of formation = 0.77 eV/atom

***

[16]
The following is a PBE calculation of a geometry-optimized Ti2MnNi9 structure, from Alexandria.

Geometry as POSCAR:
```
Ti2MnNi9
1.0
-2.5024 -1.7657 1.8886
1.9493 0.4383 2.9924
-5.0887 9.3003 1.9525
Ni Mn Ti
9 1 2
Direct
0.5000 0.5000 0.0000 Ni
0.5000 0.0000 0.8338 Ni
0.5000 0.0000 0.1662 Ni
0.0000 0.5000 0.8338 Ni
0.0000 0.5000 0.1662 Ni
0.5000 0.5000 0.3335 Ni
0.5000 0.5000 0.6665 Ni
0.0000 0.5000 0.5000 Ni
0.5000 0.0000 0.5000 Ni
0.0000 0.0000 0.0000 Mn
0.0000 0.0000 0.6698 Ti
0.0000 0.0000 0.3302 Ti
```

Space group = P4/mmm, No. 123
Crystal system = tetragonal
Density of states at the Fermi level = 9.10 states/eV per cell
Energy of formation = -0.35 eV/atom

***

[17]
The following is a PBE calculation of a geometry-optimized TiMn3Ni structure, from Alexandria.

Geometry as POSCAR:
```
TiMn3Ni
1.0
-3.9605 0.6567 -1.1165
-0.0626 -3.6846 -1.9451
-1.2937 -1.8319 3.5119
Mn Ti Ni
3 1 1
Direct
0.0000 0.0000 0.5000 Mn
0.5000 0.0000 0.0000 Mn
0.0000 0.5000 0.0000 Mn
0.0000 0.0000 0.0000 Ti
0.5000 0.5000 0.5000 Ni
```

Space group = Pm-3m, No. 221
Crystal system = cubic
Density of states at the Fermi level = 13.89 states/eV per cell
Energy of formation = 1.57 eV/atom

***

[18]
The following is a PBE calculation of a geometry-optimized Ti3MnNi6 structure, from Alexandria.

Geometry as POSCAR:
```
Ti3MnNi6
1.0
4.4003 0.0000 0.0000
0.0000 7.7891 -0.0356
0.0000 -1.7728 7.5847
Ni Ti Mn
12 6 2
Direct
0.5584 0.3211 0.4304 Ni
0.5584 0.5696 0.6789 Ni
0.6212 0.2540 0.7460 Ni
0.9466 0.4335 0.0129 Ni
0.0584 0.6789 0.5696 Ni
0.1900 0.9570 0.0430 Ni
0.4466 0.0129 0.4335 Ni
0.6900 0.0430 0.9570 Ni
0.4466 0.5665 0.9871 Ni
0.9466 0.9871 0.5665 Ni
0.0584 0.4304 0.3211 Ni
0.1212 0.7460 0.2540 Ni
0.1019 0.3674 0.6326 Ti
0.9681 0.6923 0.8858 Ti
0.6019 0.6326 0.3674 Ti
0.4681 0.8858 0.6923 Ti
0.9681 0.1142 0.3077 Ti
0.4681 0.3077 0.1142 Ti
0.6260 0.8478 0.1522 Mn
0.1260 0.1522 0.8478 Mn
```

Space group = Cmc2_1, No. 36
Crystal system = orthorhombic
Density of states at the Fermi level = 17.97 states/eV per cell
Energy of formation = -0.16 eV/atom

***

[19]
The following is a PBE calculation of a geometry-optimized TiMnNi4 structure, from Alexandria.

Geometry as POSCAR:
```
TiMnNi4
1.0
-1.3198 1.0937 3.0609
-2.8588 -2.8749 1.8049
4.3666 0.3540 3.7667
Ni Ti Mn
4 1 1
Direct
0.8327 0.4975 0.8371 Ni
0.6618 0.0046 0.6719 Ni
0.1673 0.5025 0.1629 Ni
0.3382 0.9954 0.3281 Ni
0.5000 0.5000 0.5000 Ti
0.0000 0.0000 0.0000 Mn
```

Space group = C2/m, No. 12
Crystal system = monoclinic
Density of states at the Fermi level = 5.26 states/eV per cell
Energy of formation = -0.26 eV/atom

***

[20]
The following is a PBE calculation of a geometry-optimized TiMnNi4 structure, from Alexandria.

Geometry as POSCAR:
```
TiMnNi4
1.0
3.4259 0.0000 0.0000
0.0000 9.3766 -1.0675
0.0000 -5.8105 5.1176
Ti Ni Mn
2 8 2
Direct
0.5000 0.2500 0.7500 Ti
0.5000 0.7500 0.2500 Ti
0.0000 0.9995 0.6704 Ni
0.5000 0.7507 0.9153 Ni
0.5000 0.2507 0.4153 Ni
0.5000 0.2493 0.0847 Ni
0.5000 0.7493 0.5847 Ni
0.0000 0.4995 0.1704 Ni
0.0000 0.0005 0.3296 Ni
0.0000 0.5005 0.8296 Ni
0.0000 0.5000 0.5000 Mn
0.0000 0.0000 0.0000 Mn
```

Space group = Pmmm, No. 47
Crystal system = orthorhombic
Density of states at the Fermi level = 12.51 states/eV per cell
Energy of formation = -0.21 eV/atom